DFT (GGA-PBE) results for PrTm4In2 after structural relaxation.

Cell and atoms, written as POSCAR:
```
PrTm4In2
1.0
5.727 0.000 0.000
0.000 5.727 0.000
-2.864 -2.864 6.490
In Tm Pr
2 4 1
direct
0.626 0.626 0.251
0.374 0.374 0.749
0.250 0.750 0.500
0.000 0.500 0.000
0.500 0.000 0.000
0.750 0.250 0.500
0.000 0.000 0.000
```

The total moment is 0.00 Bohr magnetons per cell. For the formation energy, the calculation gives 0.21 eV/atom.

DFT (GGA-PBE) results for Pr2Y6Tm3In after structural relaxation.

Cell and atoms, written as POSCAR:
```
Pr2Y6Tm3In
1.0
6.117 -0.002 0.004
-3.059 5.298 0.004
-1.029 -1.782 11.561
Y Tm In Pr
6 3 1 2
direct
0.917 0.590 0.749
0.410 0.083 0.251
0.243 0.243 0.748
0.757 0.757 0.252
0.590 0.917 0.749
0.083 0.410 0.251
0.500 0.500 0.500
0.166 0.834 0.500
0.834 0.166 0.500
0.000 0.000 0.000
0.334 0.666 0.000
0.666 0.334 0.000
```

The total moment is 0.00 Bohr magnetons per cell. For the formation energy, the calculation gives -0.05 eV/atom.

DFT (GGA-PBE) results for PrU2In9 after structural relaxation.

Cell and atoms, written as POSCAR:
```
PrU2In9
1.0
4.666 0.000 0.000
0.000 4.666 0.000
0.000 0.000 14.010
U In Pr
2 9 1
direct
0.000 0.000 0.335
0.000 0.000 0.665
0.000 0.500 0.828
0.500 0.500 0.665
0.500 0.000 0.828
0.500 0.500 0.335
0.000 0.500 0.500
0.500 0.000 0.500
0.500 0.000 0.172
0.000 0.500 0.172
0.500 0.500 0.000
0.000 0.000 0.000
```

The total moment is 5.35 Bohr magnetons per cell. For the formation energy, the calculation gives -0.16 eV/atom.

DFT (GGA-PBE) results for PrUIn after structural relaxation.

Cell and atoms, written as POSCAR:
```
PrUIn
1.0
3.651 0.000 0.000
0.000 5.574 0.159
-1.825 -0.929 8.237
Pr In U
2 2 2
direct
0.911 0.679 0.821
0.089 0.321 0.179
0.580 0.829 0.161
0.420 0.171 0.839
0.757 0.159 0.514
0.243 0.841 0.486
```

The total moment is 2.89 Bohr magnetons per cell. For the formation energy, the calculation gives -0.07 eV/atom.

Question: Which value of total moment does entry 2 give?
Answer: 0.00 Bohr magnetons per cell

Question: Look up the total moment of the fourth one.
Answer: 2.89 Bohr magnetons per cell